16
Lattice="2.662 -6.777 0.000 2.662 6.777 0.000 0.000 0.000 15.658" Properties=species:S:1:pos:R:3 comment="Sr5Ag2N, optimized geometry, DFT GGA-PBE" sg="Cmcm, No. 63" e_form_raw_ev_per_atom=-0.294 magmom_total_mub_per_cell=0.0 total_energy_ry_per_atom=-0.2277 pbc="T T T"
Sr 2.662 5.194 9.851
Sr 2.662 5.194 13.636
Sr 2.662 3.384 3.914
Sr 2.662 1.590 9.852
Sr 2.662 1.590 13.635
Sr 2.662 -1.590 2.023
Sr 2.662 -1.590 5.806
Sr 2.662 -3.384 11.743
Sr 2.662 -5.194 2.022
Sr 2.662 -5.194 5.807
Ag 2.662 3.390 0.670
Ag 2.662 3.390 7.159
Ag 2.662 -3.390 8.498
Ag 2.662 -3.390 14.988
N 2.662 3.393 11.743
N 2.662 -3.393 3.914

18
Lattice="2.781 -7.245 0.000 2.781 7.245 0.000 0.000 0.000 7.179" Properties=species:S:1:pos:R:3 comment="Tb2P4Rh3, optimized geometry, DFT GGA-PBE" formation_energy_ev_per_atom=-1.00 sg="Cmce, No. 64" magmom_total_mub_per_cell=0.0 total_energy_ry_per_atom=-0.5058 pbc="T T T"
Tb 2.781 5.642 6.570
Tb 2.781 1.603 2.980
Tb 2.781 -1.603 4.198
Tb 2.781 -5.642 0.609
P 2.781 4.544 3.859
P 1.390 0.764 5.384
P 1.390 -0.764 1.795
P 2.781 2.701 0.270
P 2.781 -2.701 6.909
P 4.171 0.764 5.384
P 4.171 -0.764 1.795
P 2.781 -4.544 3.320
Rh 0.000 0.000 3.589
Rh 1.390 3.146 5.384
Rh 1.390 -3.146 1.795
Rh 2.781 0.000 0.000
Rh 4.171 3.146 5.384
Rh 4.171 -3.146 1.795

11
Lattice="-1.986 3.701 6.939 1.986 -3.701 6.939 1.986 3.701 -6.939" Properties=species:S:1:pos:R:3 comment="Pa3Ga4Rh4, optimized geometry, DFT GGA-PBE" formation_energy_ev_per_atom=-0.74 sg="Immm, No. 71" magmom_total_mub_per_cell=0.0 total_energy_ry_per_atom=-0.5219 pbc="T T T"
Pa 0.000 0.000 0.000
Pa 1.986 0.000 5.257
Pa 0.000 3.701 1.682
Ga 1.986 1.457 -2.436
Ga 1.986 1.457 2.436
Ga 0.000 2.244 4.503
Ga 0.000 2.244 9.375
Rh 0.000 0.000 3.097
Rh 1.986 2.179 0.000
Rh 0.000 1.522 6.939
Rh 0.000 0.000 10.782

16
Lattice="3.969 2.292 7.678 -3.969 2.292 7.678 0.000 -4.583 7.678" Properties=species:S:1:pos:R:3 comment="Rb4Tm3ZrS8, optimized geometry, DFT GGA-PBE" sg="R-3m, No. 166" e_form_raw_ev_per_atom=-1.731 magmom_total_mub_per_cell=0.0 total_energy_ry_per_atom=-0.3976 pbc="T T T"
Rb 0.000 0.000 0.000
Rb -1.985 -1.146 7.678
Rb -1.985 1.146 15.355
Rb 0.000 2.292 7.678
Tm -3.969 0.000 11.517
Tm -1.985 1.146 3.839
Tm 1.985 1.146 3.839
Zr 0.000 0.000 11.517
S 0.000 0.000 5.308
S -1.933 -1.116 12.971
S 0.000 -2.232 10.062
S -1.933 1.116 10.062
S 1.933 -1.116 12.971
S 0.000 2.232 12.971
S 1.933 1.116 10.062
S 0.000 0.000 17.725

10
Lattice="4.204 0.000 0.000 0.000 4.204 0.000 0.000 0.000 11.689" Properties=species:S:1:pos:R:3 comment="CaNd2Ga3Pt4, optimized geometry, DFT GGA-PBE" formation_energy_ev_per_atom=-0.91 sg="P-4m2, No. 115" magmom_total_mub_per_cell=0.0 total_energy_ry_per_atom=-0.3959 pbc="T T T"
Ca 0.000 0.000 0.000
Nd 0.000 2.102 8.522
Nd 2.102 0.000 3.167
Ga 0.000 2.102 4.393
Ga 2.102 0.000 7.297
Ga 2.102 2.102 0.000
Pt 0.000 0.000 5.845
Pt 0.000 2.102 1.882
Pt 2.102 0.000 9.807
Pt 2.102 2.102 5.845

13
Lattice="7.630 -3.845 0.000 7.630 3.845 0.000 -1.740 0.000 6.723" Properties=species:S:1:pos:R:3 comment="Nd8Pd3Au2, optimized geometry, DFT GGA-PBE" formation_energy_ev_per_atom=-0.48 sg="C2/m, No. 12" magmom_total_mub_per_cell=0.0 total_energy_ry_per_atom=-0.3757 pbc="T T T"
Nd 0.697 0.000 2.576
Nd 5.586 1.943 0.805
Nd 4.168 0.000 4.203
Nd 7.933 1.943 5.918
Nd 5.586 -1.943 0.805
Nd 9.351 0.000 2.520
Nd 7.933 -1.943 5.918
Nd 12.822 0.000 4.147
Pd 6.760 1.402 3.361
Pd 7.630 0.000 0.000
Pd 6.760 -1.402 3.361
Au 3.319 0.000 1.231
Au 10.200 0.000 5.492

16
Lattice="7.168 0.000 0.000 0.000 8.933 0.000 0.000 0.000 6.233" Properties=species:S:1:pos:R:3 comment="Dy2ScOs, optimized geometry, DFT GGA-PBE" formation_energy_ev_per_atom=-0.28 sg="Pnma, No. 62" magmom_total_mub_per_cell=0.0 total_energy_ry_per_atom=-0.5123 relative_energy_kj_per_mol_atoms=0.00 pbc="T T T"
Dy 1.270 0.545 1.083
Dy 1.270 3.921 1.083
Dy 2.314 5.012 4.199
Dy 2.314 8.388 4.199
Dy 4.854 0.545 2.033
Dy 4.854 3.921 2.033
Dy 5.898 5.012 5.150
Dy 5.898 8.388 5.150
Sc 0.302 2.233 3.934
Sc 3.282 6.700 0.818
Sc 3.886 2.233 5.415
Sc 6.866 6.700 2.298
Os 0.847 6.700 6.125
Os 2.737 2.233 3.009
Os 4.431 6.700 3.224
Os 6.321 2.233 0.108

4
Lattice="3.547 0.000 0.000 0.000 3.547 0.000 0.000 0.000 7.612" Properties=species:S:1:pos:R:3 comment="NdScAgHg, optimized geometry, DFT GGA-PBE" formation_energy_ev_per_atom=-0.34 sg="P4mm, No. 99" magmom_total_mub_per_cell=0.3 total_energy_ry_per_atom=-0.2870 relative_energy_kj_per_mol_atoms=0.00 pbc="T T T"
Nd 0.000 0.000 0.000
Sc 0.000 0.000 3.688
Ag 1.773 1.773 2.146
Hg 1.773 1.773 5.409

7
Lattice="-2.443 2.443 8.742 2.443 -2.443 8.742 2.443 2.443 -8.742" Properties=species:S:1:pos:R:3 comment="Sr4HSe2, optimized geometry, DFT GGA-PBE" sg="I4/mmm, No. 139" magmom_total_mub_per_cell=2.0 total_energy_ry_per_atom=-0.2489 pbc="T T T"
Sr 2.443 0.000 0.000
Sr 0.000 0.000 3.339
Sr 0.000 2.443 0.000
Sr 0.000 0.000 14.144
H 0.000 0.000 0.000
Se 0.000 0.000 6.689
Se 0.000 0.000 10.794

15
Lattice="6.547 3.780 7.996 -6.547 3.780 7.996 0.000 -7.560 7.996" Properties=species:S:1:pos:R:3 comment="K6Rb8Cd, optimized geometry, DFT GGA-PBE" formation_energy_ev_per_atom=0.02 sg="R-3, No. 148" magmom_total_mub_per_cell=0.0 total_energy_ry_per_atom=-0.0733 pbc="T T T"
K -2.734 -0.459 9.974
K -0.970 -2.598 14.013
K 1.765 -2.138 9.974
K -1.765 2.138 14.013
K 0.970 2.598 9.974
K 2.734 0.459 14.013
Rb -1.900 -5.163 10.063
Rb -5.421 -0.936 13.925
Rb 0.000 0.000 5.981
Rb -3.521 4.227 10.063
Rb 3.521 -4.227 13.925
Rb 0.000 0.000 18.006
Rb 5.421 0.936 10.063
Rb 1.900 5.163 13.925
Cd 0.000 0.000 0.000

4
Lattice="1.454 0.840 9.450 -1.454 0.840 9.450 0.000 -1.679 9.450" Properties=species:S:1:pos:R:3 comment="TlTcW2, optimized geometry, DFT GGA-PBE" formation_energy_ev_per_atom=0.64 sg="R-3m, No. 166" magmom_total_mub_per_cell=0.0 total_energy_ry_per_atom=-0.6626 relative_energy_kj_per_mol_atoms=9.17 pbc="T T T"
Tl 0.000 0.000 0.000
Tc 0.000 0.000 14.175
W 0.000 0.000 6.905
W 0.000 0.000 21.446

16
Lattice="4.483 0.000 0.000 0.000 4.483 0.000 0.000 0.000 8.916" Properties=species:S:1:pos:R:3 comment="LiLaMg6O8, optimized geometry, DFT GGA-PBE" sg="P4/mmm, No. 123" e_form_raw_ev_per_atom=-2.525 magmom_total_mub_per_cell=0.0 total_energy_ry_per_atom=-0.4432 relative_energy_kj_per_mol_atoms=5.55 pbc="T T T"
Li 0.000 0.000 0.000
La 0.000 0.000 4.458
Mg 0.000 2.242 1.972
Mg 0.000 2.242 6.944
Mg 2.242 0.000 1.972
Mg 2.242 0.000 6.944
Mg 2.242 2.242 0.000
Mg 2.242 2.242 4.458
O 0.000 0.000 2.088
O 0.000 0.000 6.828
O 0.000 2.242 0.000
O 0.000 2.242 4.458
O 2.242 0.000 0.000
O 2.242 0.000 4.458
O 2.242 2.242 2.252
O 2.242 2.242 6.664

10
Lattice="7.458 0.000 0.000 0.000 7.458 0.000 0.000 0.000 3.309" Properties=species:S:1:pos:R:3 comment="Hf2ScCu2, optimized geometry, DFT GGA-PBE" formation_energy_ev_per_atom=-0.09 sg="P4/mbm, No. 127" magmom_total_mub_per_cell=0.0 total_energy_ry_per_atom=-0.5127 relative_energy_kj_per_mol_atoms=0.00 pbc="T T T"
Hf 1.265 2.464 0.000
Hf 2.464 6.193 0.000
Hf 4.994 1.265 0.000
Hf 6.193 4.994 0.000
Sc 0.000 0.000 1.654
Sc 3.729 3.729 1.654
Cu 0.924 4.653 1.654
Cu 2.805 0.924 1.654
Cu 4.653 6.534 1.654
Cu 6.534 2.805 1.654

7
Lattice="-2.974 2.974 9.501 2.974 -2.974 9.501 2.974 2.974 -9.501" Properties=species:S:1:pos:R:3 comment="CsRbGeI4, optimized geometry, DFT GGA-PBE" sg="I4mm, No. 107" e_form_raw_ev_per_atom=-1.003 magmom_total_mub_per_cell=0.0 total_energy_ry_per_atom=-0.2064 pbc="T T T"
Cs 0.000 0.000 0.000
Rb 0.000 0.000 13.682
Ge 0.000 0.000 6.819
I 0.000 0.000 3.822
I 2.974 0.000 6.780
I 0.000 0.000 9.914
I 0.000 2.974 6.780